1.
# Hf3ScPt | the Alexandria database | GGA-PBE | optimized geometry
# volume	131	Å³ per cell
# energy relative to the elements	194	meV per atom
# E above lowest polymorph	0.0	meV per atom
data_Hf3ScPt
_chemical_formula_sum 'Hf3 Sc1 Pt1'
_cell_length_a 5.075
_cell_length_b 5.075
_cell_length_c 5.075
_cell_angle_alpha 90.00
_cell_angle_beta 90.00
_cell_angle_gamma 90.00
_space_group_name_H-M_alt 'P m -3 m'
_space_group_IT_number 221
_space_group_name_Hall '-P 4 2 3'
loop_
_atom_site_label
_atom_site_type_symbol
_atom_site_fract_x
_atom_site_fract_y
_atom_site_fract_z
Hf1 Hf 0.000 0.000 0.500
Sc1 Sc 0.500 0.500 0.500
Pt1 Pt 0.000 0.000 0.000

2.
# MgReGeO6 | the Alexandria database | GGA-PBE | optimized geometry
# raw total energy	-7.1684	eV/atom
# volume	191	Å³ per cell
data_MgReGeO6
_chemical_formula_sum 'Mg2 Re2 Ge2 O12'
_cell_length_a 4.586
_cell_length_b 4.586
_cell_length_c 9.103
_cell_angle_alpha 90.00
_cell_angle_beta 90.00
_cell_angle_gamma 90.00
_space_group_name_H-M_alt 'P 42 n m'
_space_group_IT_number 102
loop_
_space_group_symop_operation_xyz
'x,y,z'
'-y+1/2,x+1/2,z+1/2'
'-x,-y,z'
'y+1/2,-x+1/2,z+1/2'
'-x+1/2,y+1/2,z+1/2'
'y,x,z'
'x+1/2,-y+1/2,z+1/2'
'-y,-x,z'
loop_
_atom_site_label
_atom_site_type_symbol
_atom_site_fract_x
_atom_site_fract_y
_atom_site_fract_z
Mg1 Mg 0.000 0.000 0.000
Re1 Re 0.000 0.000 0.667
Ge1 Ge 0.000 0.000 0.334
O1 O 0.186 0.186 0.501
O2 O 0.206 0.206 0.178
O3 O 0.206 0.206 0.826

3.
# NaAcIr4 | the Alexandria database | GGA-PBE | optimized geometry
# volume	457	Å³ per cell
# energy relative to the elements	-222	meV per atom
data_NaAcIr4
_chemical_formula_sum 'Na4 Ac4 Ir16'
_cell_length_a 7.703
_cell_length_b 7.703
_cell_length_c 7.703
_cell_angle_alpha 90.00
_cell_angle_beta 90.00
_cell_angle_gamma 90.00
_space_group_name_H-M_alt 'F -4 3 m'
_space_group_IT_number 216
_space_group_name_Hall 'F -4 2 3'
loop_
_atom_site_label
_atom_site_type_symbol
_atom_site_fract_x
_atom_site_fract_y
_atom_site_fract_z
Na1 Na 0.000 0.000 0.000
Ac1 Ac 0.250 0.250 0.250
Ir1 Ir 0.126 0.126 0.626

4.
# La2ZnCo | the Alexandria database | GGA-PBE | optimized geometry
# volume	101	Å³ per cell
# energy relative to the elements	-156	meV per atom
data_La2ZnCo
_chemical_formula_sum 'La2 Zn1 Co1'
_cell_length_a 3.978
_cell_length_b 4.519
_cell_length_c 5.977
_cell_angle_alpha 90.00
_cell_angle_beta 109.22
_cell_angle_gamma 90.00
_space_group_name_H-M_alt 'P 1 m 1'
_space_group_IT_number 6
loop_
_space_group_symop_operation_xyz
'x,y,z'
'x,-y,z'
loop_
_atom_site_label
_atom_site_type_symbol
_atom_site_fract_x
_atom_site_fract_y
_atom_site_fract_z
La1 La 0.000 0.000 0.000
La2 La 0.267 0.500 0.538
Zn1 Zn 0.566 0.500 0.131
Co1 Co 0.675 0.000 0.351

5.
# Sm2Al4ZnAu3 | the Alexandria database | GGA-PBE | optimized geometry
# volume	200	Å³ per cell
# energy relative to the elements	-672	meV per atom
data_Sm2Al4ZnAu3
_chemical_formula_sum 'Sm2 Al4 Zn1 Au3'
_cell_length_a 4.338
_cell_length_b 4.338
_cell_length_c 10.630
_cell_angle_alpha 90.00
_cell_angle_beta 90.00
_cell_angle_gamma 90.00
_space_group_name_H-M_alt 'P -4 m 2'
_space_group_IT_number 115
loop_
_space_group_symop_operation_xyz
'x,y,z'
'y,-x,-z'
'-x,-y,z'
'-y,x,-z'
'-x,y,z'
'-y,-x,-z'
'x,-y,z'
'y,x,-z'
loop_
_atom_site_label
_atom_site_type_symbol
_atom_site_fract_x
_atom_site_fract_y
_atom_site_fract_z
Sm1 Sm 0.000 0.500 0.246
Al1 Al 0.000 0.000 0.500
Al2 Al 0.000 0.500 0.866
Al3 Al 0.500 0.500 0.500
Zn1 Zn 0.500 0.500 0.000
Au1 Au 0.000 0.000 0.000
Au2 Au 0.000 0.500 0.632

6.
# CeYScPa | the Alexandria database | GGA-PBE | optimized geometry
# volume	442	Å³ per cell
# energy relative to the elements	331	meV per atom
data_CeYScPa
_chemical_formula_sum 'Ce4 Y4 Sc4 Pa4'
_cell_length_a 7.618
_cell_length_b 7.618
_cell_length_c 7.618
_cell_angle_alpha 90.00
_cell_angle_beta 90.00
_cell_angle_gamma 90.00
_space_group_name_H-M_alt 'F -4 3 m'
_space_group_IT_number 216
_space_group_name_Hall 'F -4 2 3'
loop_
_atom_site_label
_atom_site_type_symbol
_atom_site_fract_x
_atom_site_fract_y
_atom_site_fract_z
Ce1 Ce 0.000 0.000 0.000
Y1 Y 0.250 0.250 0.250
Sc1 Sc 0.000 0.000 0.500
Pa1 Pa 0.250 0.250 0.750

7.
# LaGeBi2O | the Alexandria database | GGA-PBE | optimized geometry
# raw total energy	-4.9932	eV/atom
# volume	129	Å³ per cell
data_LaGeBi2O
_chemical_formula_sum 'La1 Ge1 Bi2 O1'
_cell_length_a 5.177
_cell_length_b 5.177
_cell_length_c 4.798
_cell_angle_alpha 90.00
_cell_angle_beta 90.00
_cell_angle_gamma 90.00
_space_group_name_H-M_alt 'P 4/m m m'
_space_group_IT_number 123
_space_group_name_Hall '-P 4 2'
loop_
_atom_site_label
_atom_site_type_symbol
_atom_site_fract_x
_atom_site_fract_y
_atom_site_fract_z
La1 La 0.000 0.000 0.000
Ge1 Ge 0.500 0.500 0.000
Bi1 Bi 0.000 0.500 0.500
O1 O 0.500 0.500 0.500

8.
# Tb2FeCo3 | the Alexandria database | GGA-PBE | optimized geometry
# volume	188	Å³ per cell
# energy relative to the elements	-149	meV per atom
# E above lowest polymorph	21.0	meV per atom
data_Tb2FeCo3
_chemical_formula_sum 'Tb4 Fe2 Co6'
_cell_length_a 5.1938
_cell_length_b 5.1938
_cell_length_c 8.0655
_cell_angle_alpha 90.00
_cell_angle_beta 90.00
_cell_angle_gamma 120.00
_space_group_name_H-M_alt 'P 63/m m c'
_space_group_IT_number 194
_space_group_name_Hall '-P 6c 2c'
loop_
_atom_site_label
_atom_site_type_symbol
_atom_site_fract_x
_atom_site_fract_y
_atom_site_fract_z
Tb1 Tb 0.3333 0.6667 0.0614
Fe1 Fe 0.0000 0.0000 0.0000
Co1 Co 0.1662 0.3325 0.7500

In the order shown, the computed theoretical density values come out to 9.8 6.6 14.8 6.6 8.8 7.6 8.3 9.7 g/cm3.